A relaxed Sc2TaCd crystal. Source: Alexandria via LeMat-Bulk, functional PBE.

Properties
As for the total moment: 0.00 μB per formula unit. The volume comes out at 84 Å³/cell. The calculation puts the total energy at -25.06 eV per formula unit. As for the symmetry: Cmmm.

The structure in extended XYZ format:
```
4
Lattice="5.2641 0.0446 0.0000 -0.9953 5.1693 0.0000 0.0000 0.0000 3.0928" Properties=species:S:1:pos:R:3 pbc="T T T"
Sc 0.0000 0.0000 0.0000
Sc 2.1344 2.6069 0.0000
Ta 2.6320 0.0223 1.5464
Cd -0.4976 2.5847 1.5464
```

A relaxed VCuPd2 crystal. Source: Alexandria via LeMat-Bulk, functional PBE.

Properties
As for the total moment: 0.00 μB per formula unit. The volume comes out at 57 Å³/cell. The calculation puts the total energy at -24.04 eV per formula unit. As for the symmetry: R3m.

The structure in extended XYZ format:
```
4
Lattice="-2.1472 1.3019 1.1216 -1.4092 -1.1785 2.0467 4.0895 3.7660 6.8351" Properties=species:S:1:pos:R:3 pbc="T T T"
Pd 2.7859 2.8459 5.4081
Pd 0.1165 0.9602 2.4818
V -2.3702 0.0827 2.1129
Cu 0.2674 1.9452 5.0024
```

A relaxed Pd2Pt2Rh2W crystal. Source: Alexandria via LeMat-Bulk, functional PBE.

Properties
As for the total moment: 0.00 μB per formula unit. The volume comes out at 115 Å³/cell. The calculation puts the total energy at -49.36 eV per formula unit. As for the symmetry: C2/m.

The structure in extended XYZ format:
```
7
Lattice="3.9478 0.0000 0.0000 -1.9739 4.1213 -1.2290 0.0000 -2.7172 7.8863" Properties=species:S:1:pos:R:3 pbc="T T T"
Rh 0.0000 0.1390 6.1775
Rh 1.9739 1.2651 0.4799
Pt 1.9739 -1.6912 5.7770
Pt 0.0000 3.0953 0.8804
Pd 1.9739 0.5788 4.3275
Pd 0.0000 0.8253 2.3299
W 0.0000 -1.3586 3.9432
```

A relaxed BaCeTaN4 crystal. Source: Alexandria via LeMat-Bulk, functional PBE.

Properties
The uncorrected formation energy comes out at -84 kJ/mol of atoms. As for the total moment: 0.00 μB per formula unit. The volume comes out at 230 Å³/cell. As for the symmetry: Cmcm.

The structure in extended XYZ format:
```
14
Lattice="-1.5345 4.6425 -2.7017 -2.5143 -3.2485 -4.1541 -5.2972 -2.2308 4.9508" Properties=species:S:1:pos:R:3 pbc="T T T"
N -3.4159 1.2058 1.1245
N -6.9166 1.5915 0.8878
N -2.6486 -1.1154 2.4754
N -6.8263 -2.3627 -0.1828
N -3.9058 -2.7397 0.3983
N -4.6730 -0.4184 -0.9525
N -2.4294 -2.4283 -2.7928
N -2.5197 1.5259 -1.7222
Ba -3.8578 -0.0971 -3.7512
Ba -5.4882 -0.7397 1.8462
Ta -4.1528 1.5503 -0.7528
Ta -5.1933 -2.3871 -1.1522
Ce -7.5457 -0.0422 -1.5620
Ce -1.8003 -0.7947 -0.3430
```

A relaxed YRu2Se crystal. Source: Alexandria via LeMat-Bulk, functional PBE.

Properties
The uncorrected formation energy comes out at 3 kJ/mol of atoms. As for the total moment: 0.00 μB per formula unit. The volume comes out at 156 Å³/cell. As for the symmetry: I-42d.

The structure in extended XYZ format:
```
8
Lattice="7.3800 0.0000 0.0000 0.0000 7.3800 0.0000 3.6900 3.6900 2.8709" Properties=species:S:1:pos:R:3 pbc="T T T"
Ru 9.2250 8.6343 2.1532
Ru 5.5350 6.1258 2.1532
Ru 4.9443 1.8450 0.7177
Ru 2.4358 5.5350 0.7177
Y 7.3800 3.6900 1.4354
Y 0.0000 0.0000 0.0000
Se 3.6900 3.6900 0.0000
Se 3.6900 7.3800 1.4354
```

A relaxed BiI3 crystal. Source: Alexandria via LeMat-Bulk, functional PBE.

Properties
The uncorrected formation energy comes out at -45 kJ/mol of atoms. As for the total moment: 0.00 μB per formula unit. The volume comes out at 406 Å³/cell. As for the symmetry: R-3.

The structure in extended XYZ format:
```
8
Lattice="8.9083 0.0046 0.0031 5.4804 7.0231 0.0031 5.4804 2.6767 6.4930" Properties=species:S:1:pos:R:3 pbc="T T T"
I 12.8196 3.4487 3.6804
I 9.2679 3.2591 0.5117
I 8.2682 2.4932 4.7114
I 11.6010 7.2112 1.7877
I 7.0496 6.2558 2.8188
I 10.6013 6.4454 5.9875
Bi 13.2427 6.4679 4.3317
Bi 6.6265 3.2365 2.1675
```

A relaxed MgTiPt14 crystal. Source: Alexandria via LeMat-Bulk, functional PBE.

Properties
As for the total moment: 0.00 μB per formula unit. The volume comes out at 248 Å³/cell. The calculation puts the total energy at -100.22 eV per formula unit. As for the symmetry: P4/mmm.

The structure in extended XYZ format:
```
16
Lattice="-0.8624 1.6235 -5.2991 -4.8881 -2.7503 -0.0472 -3.6773 6.4911 2.5871" Properties=species:S:1:pos:R:3 pbc="T T T"
Mg -3.3779 -1.1095 -2.0174
Pt -5.6485 2.9470 -3.3727
Pt -5.7288 0.1929 -2.7330
Pt -4.7054 4.0778 1.2869
Pt -3.2043 4.3222 -3.3490
Pt -5.1412 4.8966 -1.3868
Pt -2.8267 0.7616 -0.0349
Pt -5.2172 2.1353 -0.7230
Pt -7.6075 3.5091 -1.4113
Pt -2.7730 3.5105 -0.6993
Pt -3.2625 1.5803 -2.7085
Pt -7.1718 2.6906 1.2623
Pt -3.8098 -0.2984 -4.6665
Pt -5.2929 -0.6259 -0.0595
Pt -0.9341 0.2651 -1.9930
Ti -1.3660 1.0764 -4.6422
```

A relaxed BaLi2AgGe crystal. Source: Alexandria via LeMat-Bulk, functional PBE.

Properties
The calculation puts the energy above the lowest structure with this stoichiometry at 64 meV/atom. As for the total moment: 0.53 μB per formula unit. The volume comes out at 130 Å³/cell. As for the symmetry: P4/mmm.

The structure in extended XYZ format:
```
5
Lattice="-1.5126 -0.9588 4.7854 -1.5771 -4.6451 -1.4292 4.4946 -1.8492 1.0502" Properties=species:S:1:pos:R:3 pbc="T T T"
Li -0.7886 -2.3226 -0.7146
Li -0.7563 -0.4794 2.3927
Ag 0.0000 0.0000 0.0000
Ba 0.7024 -3.7265 2.2032
Ge 2.2473 -0.9246 0.5251
```